[1]
Compound: TbHo6Er2
Source: the Alexandria database
Functional: PBE
Structure: relaxed

Values from the calculation:
Density of states at the Fermi level: 50.892 states/eV per cell
Distance to the lowest polymorph of the same formula: 0 meV/atom
Energy relative to the elements: 0.08 eV/atom

Geometry as CIF:
```
data_TbHo6Er2
_space_group_name_H-M_alt 'C 1 2/c 1'
_space_group_IT_number 15
_cell_length_a 13.2148
_cell_length_b 11.5824
_cell_length_c 8.9435
_cell_angle_alpha 90.00
_cell_angle_beta 125.46
_cell_angle_gamma 90.00
loop_
_space_group_symop_operation_xyz
'x,y,z'
'-x,-y,-z'
'-x,y,-z+1/2'
'x,-y,z+1/2'
'x+1/2,y+1/2,z'
'-x+1/2,-y+1/2,-z'
'-x+1/2,y+1/2,-z+1/2'
'x+1/2,-y+1/2,z+1/2'
loop_
_atom_site_label
_atom_site_fract_x
_atom_site_fract_y
_atom_site_fract_z
Tb1 0.0000 0.0835 0.2500
Ho1 0.0814 0.3891 0.9860
Ho2 0.1529 0.3498 0.4061
Ho3 0.2085 0.0915 0.1340
Er1 0.1088 0.1716 0.6951
```

***

[2]
Compound: Zn2HgTe
Source: the Alexandria database
Functional: PBE
Structure: relaxed

Values from the calculation:
E_form (uncorrected): 0.1723 eV per atom
Density of states at the Fermi level: 1.465 states/eV per cell
Distance to the lowest polymorph of the same formula: 196 meV/atom

Geometry as CIF:
```
data_Zn2HgTe
_space_group_name_H-M_alt 'P 4/m m m'
_space_group_IT_number 123
_space_group_name_Hall '-P 4 2'
_cell_length_a 3.8710
_cell_length_b 3.8710
_cell_length_c 6.0056
_cell_angle_alpha 90.00
_cell_angle_beta 90.00
_cell_angle_gamma 90.00
loop_
_atom_site_label
_atom_site_fract_x
_atom_site_fract_y
_atom_site_fract_z
Zn1 0.0000 0.0000 0.2494
Hg1 0.5000 0.5000 0.5000
Te1 0.5000 0.5000 0.0000
```

***

[3]
Compound: BaSc2Hg
Source: the Alexandria database
Functional: PBE
Structure: relaxed

Values from the calculation:
Density of states at the Fermi level: 13.944 states/eV per cell
Energy relative to the elements: 0.18 eV/atom

Geometry as CIF:
```
data_BaSc2Hg
_space_group_name_H-M_alt 'C 1 2/m 1'
_space_group_IT_number 12
_cell_length_a 6.7795
_cell_length_b 11.7226
_cell_length_c 3.4329
_cell_angle_alpha 90.00
_cell_angle_beta 120.04
_cell_angle_gamma 90.00
loop_
_space_group_symop_operation_xyz
'x,y,z'
'-x,-y,-z'
'-x,y,-z'
'x,-y,z'
'x+1/2,y+1/2,z'
'-x+1/2,-y+1/2,-z'
'-x+1/2,y+1/2,-z'
'x+1/2,-y+1/2,z'
loop_
_atom_site_label
_atom_site_fract_x
_atom_site_fract_y
_atom_site_fract_z
Ba1 0.0000 0.0000 0.0000
Sc1 0.2500 0.2500 0.5000
Hg1 0.0000 0.5000 0.0000
```

***

[4]
Compound: ErPaFe10
Source: the Alexandria database
Functional: PBE
Structure: relaxed

Values from the calculation:
Density of states at the Fermi level: 12.597 states/eV per cell
Energy relative to the elements: -0.06 eV/atom

Geometry as CIF:
```
data_ErPaFe10
_space_group_name_H-M_alt 'P m m m'
_space_group_IT_number 47
_cell_length_a 3.9976
_cell_length_b 4.9573
_cell_length_c 8.5513
_cell_angle_alpha 90.00
_cell_angle_beta 90.00
_cell_angle_gamma 90.00
loop_
_space_group_symop_operation_xyz
'x,y,z'
'-x,-y,-z'
'-x,-y,z'
'x,y,-z'
'x,-y,-z'
'-x,y,z'
'-x,y,-z'
'x,-y,z'
loop_
_atom_site_label
_atom_site_fract_x
_atom_site_fract_y
_atom_site_fract_z
Er1 0.0000 0.0000 0.0000
Pa1 0.0000 0.5000 0.5000
Fe1 0.0000 0.0000 0.3359
Fe2 0.0000 0.5000 0.1694
Fe3 0.5000 0.0000 0.5000
Fe4 0.5000 0.2493 0.2490
Fe5 0.5000 0.5000 0.0000
```

***

[5]
Compound: Dy2HoNpP4
Source: the Alexandria database
Functional: PBE
Structure: relaxed

Values from the calculation:
Density of states at the Fermi level: 10.131 states/eV per cell
Energy relative to the elements: -1.42 eV/atom

Geometry as CIF:
```
data_Dy2HoNpP4
_space_group_name_H-M_alt 'P 1 2/m 1'
_space_group_IT_number 10
_cell_length_a 6.8975
_cell_length_b 3.9802
_cell_length_c 6.9002
_cell_angle_alpha 90.00
_cell_angle_beta 109.32
_cell_angle_gamma 90.00
loop_
_space_group_symop_operation_xyz
'x,y,z'
'-x,-y,-z'
'-x,y,-z'
'x,-y,z'
loop_
_atom_site_label
_atom_site_fract_x
_atom_site_fract_y
_atom_site_fract_z
Dy1 0.0000 0.0000 0.0000
Dy2 0.5000 0.5000 0.0000
Ho1 0.0000 0.5000 0.5000
Np1 0.5000 0.0000 0.5000
P1 0.2523 0.0000 0.7460
P2 0.2537 0.5000 0.2546
```

***

[6]
Compound: LiTl2Hg
Source: the Alexandria database
Functional: PBE
Structure: relaxed

Values from the calculation:
Density of states at the Fermi level: 1.301 states/eV per cell
Distance to the lowest polymorph of the same formula: 6 meV/atom
Energy relative to the elements: -0.13 eV/atom

Geometry as CIF:
```
data_LiTl2Hg
_space_group_name_H-M_alt 'P 4 m m'
_space_group_IT_number 99
_cell_length_a 3.7100
_cell_length_b 3.7100
_cell_length_c 7.2882
_cell_angle_alpha 90.00
_cell_angle_beta 90.00
_cell_angle_gamma 90.00
loop_
_space_group_symop_operation_xyz
'x,y,z'
'-y,x,z'
'-x,-y,z'
'y,-x,z'
'-x,y,z'
'y,x,z'
'x,-y,z'
'-y,-x,z'
loop_
_atom_site_label
_atom_site_fract_x
_atom_site_fract_y
_atom_site_fract_z
Li1 0.0000 0.0000 0.0000
Tl1 0.0000 0.0000 0.5454
Tl2 0.5000 0.5000 0.2532
Hg1 0.5000 0.5000 0.8216
```

***

[7]
Compound: Tm2GaSi2Ru5
Source: the Alexandria database
Functional: PBE
Structure: relaxed

Values from the calculation:
E_form (uncorrected): -0.6641 eV per atom
Density of states at the Fermi level: 17.832 states/eV per cell

Geometry as CIF:
```
data_Tm2GaSi2Ru5
_space_group_name_H-M_alt 'P 4/m b m'
_space_group_IT_number 127
_space_group_name_Hall '-P 4 2ab'
_cell_length_a 9.8937
_cell_length_b 9.8937
_cell_length_c 3.2319
_cell_angle_alpha 90.00
_cell_angle_beta 90.00
_cell_angle_gamma 90.00
loop_
_atom_site_label
_atom_site_fract_x
_atom_site_fract_y
_atom_site_fract_z
Tm1 0.1726 0.3274 0.0000
Ga1 0.0000 0.0000 0.0000
Si1 0.1284 0.6284 0.0000
Ru1 0.0000 0.5000 0.5000
Ru2 0.0674 0.7938 0.5000
```

***

[8]
Compound: PrMg4Au2
Source: the Alexandria database
Functional: PBE
Structure: relaxed

Values from the calculation:
Density of states at the Fermi level: 6.908 states/eV per cell
Energy relative to the elements: -0.52 eV/atom

Geometry as CIF:
```
data_PrMg4Au2
_space_group_name_H-M_alt 'P 42/m n m'
_space_group_IT_number 136
_space_group_name_Hall '-P 4n 2n'
_cell_length_a 8.4047
_cell_length_b 8.4047
_cell_length_c 4.4321
_cell_angle_alpha 90.00
_cell_angle_beta 90.00
_cell_angle_gamma 90.00
loop_
_atom_site_label
_atom_site_fract_x
_atom_site_fract_y
_atom_site_fract_z
Pr1 0.0000 0.0000 0.0000
Mg1 0.0870 0.3363 0.5000
Au1 0.2175 0.7825 0.5000
```

***

[9]
Compound: HoEr8Cd6
Source: the Alexandria database
Functional: PBE
Structure: relaxed

Values from the calculation:
Density of states at the Fermi level: 52.953 states/eV per cell
Energy relative to the elements: -0.06 eV/atom

Geometry as CIF:
```
data_HoEr8Cd6
_space_group_name_H-M_alt 'R -3'
_space_group_IT_number 148
_space_group_name_Hall '-R 3'
_cell_length_a 8.8974
_cell_length_b 8.8974
_cell_length_c 18.9978
_cell_angle_alpha 90.00
_cell_angle_beta 90.00
_cell_angle_gamma 120.00
loop_
_atom_site_label
_atom_site_fract_x
_atom_site_fract_y
_atom_site_fract_z
Ho1 0.0000 0.0000 0.0000
Er1 0.0000 0.0000 0.3338
Er2 0.9998 0.3329 0.7825
Cd1 0.0003 0.3332 0.2807
```

***

[10]
Compound: La7TbY4
Source: the Alexandria database
Functional: PBE
Structure: relaxed

Values from the calculation:
Density of states at the Fermi level: 18.152 states/eV per cell
Energy relative to the elements: 0.01 eV/atom

Geometry as CIF:
```
data_La7TbY4
_space_group_name_H-M_alt 'P -1'
_space_group_IT_number 2
_cell_length_a 6.4317
_cell_length_b 7.3707
_cell_length_c 9.1256
_cell_angle_alpha 89.97
_cell_angle_beta 76.45
_cell_angle_gamma 89.91
loop_
_space_group_symop_operation_xyz
'x,y,z'
'-x,-y,-z'
loop_
_atom_site_label
_atom_site_fract_x
_atom_site_fract_y
_atom_site_fract_z
La1 0.0000 0.0000 0.0000
La2 0.2236 0.0004 0.3330
La3 0.2788 0.2501 0.6664
La4 0.4980 0.2541 0.0010
Tb1 0.0000 0.5000 0.0000
Y1 0.2171 0.4996 0.3344
Y2 0.2777 0.7426 0.6688
```

***

[11]
Compound: LiPa3Al12
Source: the Alexandria database
Functional: PBE
Structure: relaxed

Values from the calculation:
Density of states at the Fermi level: 13.360 states/eV per cell
Energy relative to the elements: -0.20 eV/atom

Geometry as CIF:
```
data_LiPa3Al12
_space_group_name_H-M_alt 'P 4/m m m'
_space_group_IT_number 123
_space_group_name_Hall '-P 4 2'
_cell_length_a 4.2675
_cell_length_b 4.2675
_cell_length_c 16.7450
_cell_angle_alpha 90.00
_cell_angle_beta 90.00
_cell_angle_gamma 90.00
loop_
_atom_site_label
_atom_site_fract_x
_atom_site_fract_y
_atom_site_fract_z
Li1 0.0000 0.0000 0.0000
Pa1 0.0000 0.0000 0.2415
Pa2 0.0000 0.0000 0.5000
Al1 0.0000 0.5000 0.1101
Al2 0.0000 0.5000 0.3707
Al3 0.5000 0.5000 0.0000
Al4 0.5000 0.5000 0.2458
Al5 0.5000 0.5000 0.5000
```

***

[12]
Compound: Pm2Ga4Pd3Ru
Source: the Alexandria database
Functional: PBE
Structure: relaxed

Values from the calculation:
Density of states at the Fermi level: 5.134 states/eV per cell
Energy relative to the elements: -0.73 eV/atom

Geometry as CIF:
```
data_Pm2Ga4Pd3Ru
_space_group_name_H-M_alt 'P -4 m 2'
_space_group_IT_number 115
_cell_length_a 4.3427
_cell_length_b 4.3427
_cell_length_c 10.1173
_cell_angle_alpha 90.00
_cell_angle_beta 90.00
_cell_angle_gamma 90.00
loop_
_space_group_symop_operation_xyz
'x,y,z'
'y,-x,-z'
'-x,-y,z'
'-y,x,-z'
'-x,y,z'
'-y,-x,-z'
'x,-y,z'
'y,x,-z'
loop_
_atom_site_label
_atom_site_fract_x
_atom_site_fract_y
_atom_site_fract_z
Pm1 0.0000 0.5000 0.2394
Ga1 0.0000 0.0000 0.5000
Ga2 0.0000 0.5000 0.8756
Ga3 0.5000 0.5000 0.5000
Pd1 0.0000 0.0000 0.0000
Pd2 0.0000 0.5000 0.6300
Ru1 0.5000 0.5000 0.0000
```

***

no.,calculated total energy (eV per atom)
1,-4.504
2,-1.326
3,-3.544
4,-8.289
5,-7.467
6,-1.864
7,-7.584
8,-3.045
9,-3.164
10,-5.405
11,-4.910
12,-5.375